Compound: Cd5Au3
Source: Alexandria
Functional: PBE
Structure: relaxed

Lattice parameters (Å, degrees): 7.873 9.252 4.424 90.00 90.00 90.00
Space group Cmmm (No. 65)
Asymmetric unit:
Cd (0.000, 0.000, 0.000) [2 per cell]
Cd (0.225, 0.500, 0.500) [4 per cell]
Cd (0.250, 0.250, 0.000) [4 per cell]
Au (0.000, 0.222, 0.500) [4 per cell]
Au (0.000, 0.500, 0.000) [2 per cell]

Computed properties:
M_tot, μB per atom: 0.00
V, Å³/atom: 20.1
ΔH_f (0 K), eV per atom: -0.13
Density, g/cm³: 11.88

---

Compound: KBiP2Se8
Source: Alexandria
Functional: PBE
Structure: relaxed

Lattice parameters (Å, degrees): 6.3161 6.3161 10.1548 90.00 90.00 120.00
Space group P-3 (No. 147)
Asymmetric unit:
K (0.0000, 0.0000, 0.0000) [1 per cell]
Bi (0.0000, 0.0000, 0.5000) [1 per cell]
P (0.3333, 0.6667, 0.7413) [2 per cell]
Se (0.0346, 0.6486, 0.3194) [6 per cell]
Se (0.3333, 0.6667, 0.9571) [2 per cell]

Computed properties:
M_tot, μB per atom: 0.00
Energy relative to the elements, uncorrected, eV per formula unit: -2.3
V, Å³/atom: 29.2
Density, g/cm³: 4.46

---

Compound: LaIn2Re
Source: Alexandria
Functional: PBE
Structure: relaxed

Lattice parameters (Å, degrees): 3.407 3.407 7.862 90.00 90.00 90.00
Space group P4/mmm (No. 123)
Asymmetric unit:
La (0.000, 0.000, 0.000) [1 per cell]
In (0.500, 0.500, 0.304) [2 per cell]
Re (0.000, 0.000, 0.500) [1 per cell]

Computed properties:
M_tot, μB per atom: 0.00
V, Å³/atom: 22.8
ΔH_f (0 K), eV per atom: 0.19
Density, g/cm³: 10.09

---

Compound: FeIr2Pd
Source: Alexandria
Functional: PBE
Structure: relaxed

Lattice parameters (Å, degrees): 6.967 6.967 5.091 90.00 90.00 90.00
Space group I-42d (No. 122)
Asymmetric unit:
Fe (0.000, 0.000, 0.000) [4 per cell]
Ir (0.205, 0.250, 0.125) [8 per cell]
Pd (0.000, 0.000, 0.500) [4 per cell]

Computed properties:
M_tot, μB per atom: 0.54
V, Å³/atom: 15.4
ΔH_f (0 K), eV per atom: 0.50
Density, g/cm³: 14.69

---

Compound: Rb2Cd6HgAu
Source: Alexandria
Functional: PBE
Structure: relaxed

Lattice parameters (Å, degrees): 8.021 10.162 7.877 90.00 90.00 90.00
Space group Pmmn (No. 59, origin choice 2)
Asymmetric unit:
Rb (0.250, 0.037, 0.212) [4 per cell]
Cd (0.037, 0.250, 0.864) [4 per cell]
Cd (0.073, 0.750, 0.533) [4 per cell]
Cd (0.250, 0.507, 0.704) [4 per cell]
Hg (0.250, 0.750, 0.910) [2 per cell]
Au (0.250, 0.250, 0.578) [2 per cell]

Computed properties:
M_tot, μB per atom: 0.00
V, Å³/atom: 32.1
ΔH_f (0 K), eV per atom: -0.08
Density, g/cm³: 6.43

---

Compound: Nd5Er2Tm12
Source: Alexandria
Functional: PBE
Structure: relaxed

Lattice parameters (Å, degrees): 6.130 9.374 10.618 101.04 95.63 90.01
Space group P-1 (No. 2)
Asymmetric unit:
Nd (0.000, 0.000, 0.000) [1 per cell]
Nd (0.159, 0.631, 0.946) [2 per cell]
Nd (0.263, 0.053, 0.579) [2 per cell]
Er (0.420, 0.682, 0.526) [2 per cell]
Tm (0.055, 0.213, 0.317) [2 per cell]
Tm (0.104, 0.422, 0.631) [2 per cell]
Tm (0.211, 0.840, 0.263) [2 per cell]
Tm (0.317, 0.263, 0.895) [2 per cell]
Tm (0.370, 0.473, 0.212) [2 per cell]
Tm (0.475, 0.894, 0.841) [2 per cell]

Computed properties:
M_tot, μB per atom: 0.00
V, Å³/atom: 31.4
ΔH_f (0 K), eV per atom: 0.03
Density, g/cm³: 8.59

---

Compound: InMo2Br
Source: Alexandria
Functional: PBE
Structure: relaxed

Lattice parameters (Å, degrees): 2.979 4.902 5.214 90.00 90.00 90.00
Space group Pmmm (No. 47)
Asymmetric unit:
In (0.000, 0.000, 0.000) [1 per cell]
Mo (0.000, 0.500, 0.500) [1 per cell]
Mo (0.500, 0.500, 0.000) [1 per cell]
Br (0.500, 0.000, 0.500) [1 per cell]

Computed properties:
M_tot, μB per atom: 0.12
Energy relative to the elements, uncorrected, eV per formula unit: 3.3
V, Å³/atom: 19.0
Density, g/cm³: 8.43

---

Compound: ZrScAlIr
Source: Alexandria
Functional: PBE
Structure: relaxed

Lattice parameters (Å, degrees): 6.654 6.654 6.654 90.00 90.00 90.00
Space group F-43m (No. 216)
Asymmetric unit:
Zr (0.000, 0.000, 0.000) [4 per cell]
Sc (0.000, 0.000, 0.500) [4 per cell]
Al (0.250, 0.250, 0.750) [4 per cell]
Ir (0.250, 0.250, 0.250) [4 per cell]

Computed properties:
M_tot, μB per atom: 0.00
V, Å³/atom: 18.4
ΔH_f (0 K), eV per atom: -0.61
Density, g/cm³: 8.01

---

Compound: Hf4Be2Ge
Source: Alexandria
Functional: PBE
Structure: relaxed

Lattice parameters (Å, degrees): 4.932 4.932 12.013 90.00 90.00 90.00
Space group I4/mmm (No. 139)
Asymmetric unit:
Hf (0.000, 0.000, 0.214) [4 per cell]
Hf (0.000, 0.500, 0.000) [4 per cell]
Be (0.000, 0.000, 0.417) [4 per cell]
Ge (0.000, 0.000, 0.000) [2 per cell]

Computed properties:
M_tot, μB per atom: 0.00
V, Å³/atom: 20.9
ΔH_f (0 K), eV per atom: 0.51
Density, g/cm³: 9.15

---

Compound: TaAgPt2
Source: Alexandria
Functional: PBE
Structure: relaxed

Lattice parameters (Å, degrees): 7.305 7.305 5.575 90.00 90.00 90.00
Space group I-42d (No. 122)
Asymmetric unit:
Ta (0.000, 0.000, 0.000) [4 per cell]
Ag (0.000, 0.000, 0.500) [4 per cell]
Pt (0.222, 0.250, 0.125) [8 per cell]

Computed properties:
M_tot, μB per atom: 0.00
V, Å³/atom: 18.6
ΔH_f (0 K), eV per atom: 0.04
Density, g/cm³: 15.16

---

Compound: Sc2In
Source: Alexandria
Functional: PBE
Structure: relaxed

Lattice parameters (Å, degrees): 3.363 16.530 5.174 90.00 90.00 90.00
Space group Cmcm (No. 63)
Asymmetric unit:
Sc (0.000, 0.052, 0.250) [4 per cell]
Sc (0.000, 0.389, 0.250) [4 per cell]
In (0.000, 0.281, 0.750) [4 per cell]

Computed properties:
M_tot, μB per atom: 0.00
V, Å³/atom: 24.0
ΔH_f (0 K), eV per atom: -0.19
Density, g/cm³: 4.73

---

Compound: PuSc2Al
Source: Alexandria
Functional: PBE
Structure: relaxed

Lattice parameters (Å, degrees): 4.545 4.545 4.358 90.00 90.00 90.00
Space group P4/mmm (No. 123)
Asymmetric unit:
Pu (0.000, 0.000, 0.000) [1 per cell]
Sc (0.000, 0.500, 0.500) [2 per cell]
Al (0.500, 0.500, 0.000) [1 per cell]

Computed properties:
M_tot, μB per atom: 1.69
V, Å³/atom: 22.5
ΔH_f (0 K), eV per atom: -0.12
Density, g/cm³: 6.66